TiAl2Zn | GGA-PBE | relaxed

volume = 137.4 Å³ per cell
ΔH_f (0 K) = 88.4 meV per atom
Fermi-level density of states = 0.4785 states/eV/atom
magnetization = 0.000 μB/f.u.

abc: 7.1177 7.1177 5.7170
angles: 51.50 51.50 90.00
Closest atoms and distances in Å follow each position.
Sites, in units of the cell vectors:
1 Al 0.8750 0.9046 0.7500  2 Zn 2.47, 2 Al 2.74, 2 Ti 2.75
2 Zn 0.0000 0.0000 0.0000  4 Al 2.47, 2 Ti 2.71
3 Zn 0.7500 0.2500 0.5000  4 Al 2.47, 2 Ti 2.71
4 Ti 0.5000 0.5000 0.0000  2 Zn 2.71, 4 Al 2.75
5 Al 0.6546 0.1250 0.2500  2 Zn 2.47, 2 Al 2.74, 2 Ti 2.75
6 Ti 0.2500 0.7500 0.5000  2 Zn 2.71, 4 Al 2.75
7 Al 0.3750 0.3454 0.7500  2 Zn 2.47, 2 Al 2.74, 2 Ti 2.75
8 Al 0.0954 0.6250 0.2500  2 Zn 2.47, 2 Al 2.74, 2 Ti 2.75